Below is an optimized crystal structure of Sr2InHg7, with properties calculated at the PBE level.

The structure in POSCAR format:
```
Sr2InHg7
1.0
7.879 0.000 0.000
3.939 6.823 0.000
3.939 2.274 6.433
Sr Hg In
2 7 1
Cartesian
11.818 6.823 4.825
3.939 2.274 1.608
9.848 3.412 4.824
7.879 4.549 3.217
7.879 6.823 4.824
5.910 3.412 4.824
5.910 5.686 1.609
7.879 2.275 1.609
9.848 5.686 1.609
0.000 0.000 0.000
```

Calculated values
**Formation enthalpy at 0 K**: -0.54 eV per formula unit
**VASP energy**: -8.751 eV per formula unit
**Theoretical density**: 8.1 g/cm³